Density functional theory data (PBE) for a geometry-optimized Dy3Er2Tm2Te2Pd2 structure.

Computed properties:
Uncorrected energy = -5.26 eV/atom

```
11
Lattice="-1.9625 7.8269 4.8067 1.9625 -7.8269 4.8067 1.9625 7.8269 -4.8067" Properties=species:S:1:pos:R:3 pbc="T T T"
Dy 0.0000 0.0000 6.5521
Dy 0.0000 2.0197 2.5371
Dy 1.9625 5.8073 -2.2695
Er 0.0000 4.9616 0.5455
Er 0.0000 10.6923 0.5455
Pd 0.0000 3.6889 7.2401
Pd 1.9625 4.1380 2.4334
Te 0.0000 0.0000 0.1615
Te 1.9625 0.0000 4.0198
Tm 0.0000 5.5756 3.9922
Tm 1.9625 2.2513 -0.8145
```